Arrangement P

The following is a PBE calculation of Y4SnRu after structural relaxation, from the Alexandria database.

Cell and atoms, written as CIF:
```
data_Y4SnRu
_chemical_formula_sum 'Y8 Sn2 Ru2'
_space_group_name_H-M_alt 'P 1 21/c 1'
_space_group_IT_number 14
_cell_length_a 7.4750
_cell_length_b 7.0482
_cell_length_c 6.8833
_cell_angle_alpha 90.00
_cell_angle_beta 91.97
_cell_angle_gamma 90.00
loop_
_space_group_symop_operation_xyz
'x,y,z'
'-x,-y,-z'
'-x,y+1/2,-z+1/2'
'x,-y+1/2,z+1/2'
loop_
_atom_site_label
_atom_site_fract_x
_atom_site_fract_y
_atom_site_fract_z
Y1 0.1440 0.1617 0.1774
Y2 0.3049 0.6494 0.1321
Sn1 0.5000 0.0000 0.0000
Ru1 0.0000 0.0000 0.5000
```



Arrangement Q

The following is a PBE calculation of Y4SnRu after structural relaxation, from the Alexandria database.

Cell and atoms, written as CIF:
```
data_Y4SnRu
_chemical_formula_sum 'Y16 Sn4 Ru4'
_space_group_name_H-M_alt 'C 1 2/c 1'
_space_group_IT_number 15
_cell_length_a 8.9736
_cell_length_b 13.4605
_cell_length_c 6.1650
_cell_angle_alpha 90.00
_cell_angle_beta 115.53
_cell_angle_gamma 90.00
loop_
_space_group_symop_operation_xyz
'x,y,z'
'-x,-y,-z'
'-x,y,-z+1/2'
'x,-y,z+1/2'
'x+1/2,y+1/2,z'
'-x+1/2,-y+1/2,-z'
'-x+1/2,y+1/2,-z+1/2'
'x+1/2,-y+1/2,z+1/2'
loop_
_atom_site_label
_atom_site_fract_x
_atom_site_fract_y
_atom_site_fract_z
Y1 0.1122 0.1702 0.0707
Y2 0.2182 0.4305 0.3317
Sn1 0.0000 0.3706 0.7500
Ru1 0.0000 0.9999 0.2500
```



We find arrangement Q to be the most stable, with the next structure 163 meV/atom higher.